Material: Ho4Cu3Hg
Method: DFT, PBE-GGA
State: optimized geometry

Properties
The calculation puts the formation energy at -0.279 eV per atom. Its density of states at the Fermi level is 0.9613 states/eV/atom. The calculated volume comes out at 22.5 Å³/atom. Its calculated total energy is -4.1417 eV/atom.

a b c (Å): 3.6888 4.5885 10.6516
angles (deg): 90.00 90.00 90.00
Fractional coordinates of all 8 atoms:
1 Ho 0.5000 0.0000 0.6368
2 Ho 0.0000 0.0000 0.1503
3 Ho 0.5000 0.5000 0.3716
4 Ho 0.0000 0.5000 0.8433
5 Cu 0.0000 0.0000 0.4310
6 Cu 0.0000 0.5000 0.5725
7 Cu 0.5000 0.0000 0.9169
8 Hg 0.5000 0.5000 0.0776